[1]
Entry from Alexandria via LeMat-Bulk: an optimized crystal structure of Fe4CoAs (PBE-GGA).

**Formation enthalpy at 0 K**: 0.280 eV per atom
**Crystal system**: cubic

Unit cell a=6.698 b=6.698 c=6.698 alpha=90.00 beta=90.00 gamma=90.00
Space group F-43m (No. 216)
Unique sites:
Fe1 0.125 0.125 0.125
Co1 0.250 0.250 0.750
As1 0.000 0.000 0.500



[2]
Entry from Alexandria via LeMat-Bulk: an optimized crystal structure of CaLuAlTl (PBE-GGA).

**Formation enthalpy at 0 K**: -0.267 eV per atom
**Crystal system**: cubic

Unit cell a=7.445 b=7.445 c=7.445 alpha=90.00 beta=90.00 gamma=90.00
Space group F-43m (No. 216)
Unique sites:
Ca1 0.000 0.000 0.000
Lu1 0.000 0.000 0.500
Al1 0.250 0.250 0.250
Tl1 0.250 0.250 0.750



[3]
Entry from Alexandria via LeMat-Bulk: an optimized crystal structure of KZr2Hg (PBE-GGA).

**Formation enthalpy at 0 K**: 0.696 eV per atom
**Crystal system**: tetragonal

Unit cell a=4.607 b=4.607 c=9.475 alpha=90.00 beta=90.00 gamma=90.00
Space group I-4m2 (No. 119)
Unique sites:
K1 0.000 0.000 0.000
Zr1 0.000 0.000 0.500
Zr2 0.000 0.500 0.750
Hg1 0.000 0.500 0.250